Below is Ca2HfTaAu at its PBEsol-relaxed geometry, with properties calculated at the meta-GGA SCAN level.

a b c (Å): 5.658 5.658 4.771
angles (deg): 90.00 90.00 90.00
Space group P4/mmm (No. 123)
Asymmetric unit:
Ca1 0.000 0.500 0.000 [2 per cell]
Hf1 0.000 0.000 0.000 [1 per cell]
Ta1 0.000 0.000 0.500 [1 per cell]
Au1 0.500 0.500 0.500 [1 per cell]

Its crystal system is tetragonal.



Below is Si2Mo2F at its PBEsol-relaxed geometry, with properties calculated at the meta-GGA SCAN level.

a b c (Å): 3.350 3.350 12.760
angles (deg): 90.00 90.00 90.00
Space group I4/mmm (No. 139)
Asymmetric unit:
Si1 0.000 0.500 0.250 [4 per cell]
Mo1 0.000 0.000 0.107 [4 per cell]
F1 0.000 0.000 0.500 [2 per cell]

For the uncorrected formation energy, the calculation gives 86 meV/atom. Its crystal system is tetragonal.



Below is ZrTe2Rh at its PBEsol-relaxed geometry, with properties calculated at the meta-GGA SCAN level.

a b c (Å): 3.754 3.754 6.104
angles (deg): 90.00 90.00 90.00
Space group P4mm (No. 99)
Asymmetric unit:
Zr1 0.000 0.000 0.000 [1 per cell]
Te1 0.000 0.000 0.443 [1 per cell]
Te2 0.500 0.500 0.836 [1 per cell]
Rh1 0.500 0.500 0.282 [1 per cell]

For the uncorrected formation energy, the calculation gives -614 meV/atom. The energy above the most stable polymorph in this dataset comes out at 0.0000 eV per atom. Its crystal system is tetragonal.



Below is LiMnNi2 at its PBEsol-relaxed geometry, with properties calculated at the meta-GGA SCAN level.

a b c (Å): 5.627 5.639 2.763
angles (deg): 90.00 90.00 90.00
Space group Cmmm (No. 65)
Asymmetric unit:
Li1 0.000 0.000 0.000 [2 per cell]
Mn1 0.000 0.500 0.000 [2 per cell]
Ni1 0.250 0.250 0.500 [4 per cell]

Its crystal system is orthorhombic.



Below is Al2ZnNi at its PBEsol-relaxed geometry, with properties calculated at the meta-GGA SCAN level.

a b c (Å): 6.033 6.129 2.836
angles (deg): 90.00 90.00 90.00
Space group Cmmm (No. 65)
Asymmetric unit:
Al1 0.250 0.250 0.000 [4 per cell]
Zn1 0.000 0.000 0.500 [2 per cell]
Ni1 0.000 0.500 0.500 [2 per cell]

Its crystal system is orthorhombic.



Below is Zr2TiGa2 at its PBEsol-relaxed geometry, with properties calculated at the meta-GGA SCAN level.

a b c (Å): 6.998 6.998 3.746
angles (deg): 90.00 90.00 90.00
Space group P4/mbm (No. 127)
Asymmetric unit:
Zr1 0.175 0.325 0.000 [4 per cell]
Ti1 0.000 0.000 0.500 [2 per cell]
Ga1 0.127 0.627 0.500 [4 per cell]

Its crystal system is tetragonal.



Below is Y2Fe17C3 at its PBEsol-relaxed geometry, with properties calculated at the meta-GGA SCAN level.

a b c (Å): 8.4625 8.4625 12.2558
angles (deg): 90.00 90.00 120.00
Space group R-3m (No. 166, hexagonal axes)
Asymmetric unit:
Y1 0.0000 0.0000 0.1559 [6 per cell]
Fe1 0.0000 0.0000 0.4046 [6 per cell]
Fe2 0.0000 0.2827 0.5000 [18 per cell]
Fe3 0.0000 0.5000 0.0000 [9 per cell]
Fe4 0.0069 0.5034 0.3472 [18 per cell]
C1 0.0000 0.5000 0.5000 [9 per cell]

Its crystal system is trigonal.



Below is Li2MgHg at its PBEsol-relaxed geometry, with properties calculated at the meta-GGA SCAN level.

a b c (Å): 4.648 4.648 6.617
angles (deg): 90.00 90.00 90.00
Space group I-4m2 (No. 119)
Asymmetric unit:
Li1 0.000 0.000 0.000 [2 per cell]
Li2 0.000 0.500 0.250 [2 per cell]
Mg1 0.000 0.500 0.750 [2 per cell]
Hg1 0.000 0.000 0.500 [2 per cell]

The energy above the most stable polymorph in this dataset comes out at 0.0000 eV per atom. Its crystal system is tetragonal.



no.,total energy (eV per atom)
1,-42.29
2,-18.58
3,-35.36
4,-13.40
5,-11.61
6,-22.67
7,-18.00
8,-19.90